Computed, not measured: a relaxed structure of PmGeRu2 at the PBE-GGA level of DFT.

Cell: 4.0044 4.0044 9.4715 Å, 90.00 90.00 90.00°
Last column: nearest neighbours and their distance in Å.
Positions (direct):
Pm (0.5000, 0.0000, 0.2151)  1 Ru 2.73
Pm (0.0000, 0.5000, 0.7849)  1 Ru 2.73
Ru (0.5000, 0.5000, 0.5000)  4 Ge 2.49
Ru (0.0000, 0.5000, 0.0734)  1 Ge 2.55, 1 Pm 2.73
Ru (0.0000, 0.0000, 0.5000)  4 Ge 2.49
Ru (0.5000, 0.0000, 0.9266)  1 Ge 2.55, 1 Pm 2.73
Ge (0.5000, 0.0000, 0.6570)  5 Ru 2.49-2.55
Ge (0.0000, 0.5000, 0.3430)  5 Ru 2.49-2.55

## Properties
DOS at the Fermi energy (states/eV/cell): 9.74
Theoretical density (g cm⁻³): 9.18
Uncorrected energy (eV per cell): -56.994
Magnetization (μB per formula unit): 0.9
Crystal system: tetragonal